This record from Alexandria describes a relaxed structure of ZrTi2Pd9. The functional is PBE.

abc: 3.9673 3.9673 11.8752
angles: 90.00 90.00 90.00
Fractional coordinates of all 12 atoms:
Zr 0.0000 0.0000 0.0000
Ti 0.0000 0.0000 0.3371
Ti 0.0000 0.0000 0.6629
Pd 0.0000 0.5000 0.1728
Pd 0.0000 0.5000 0.5000
Pd 0.0000 0.5000 0.8272
Pd 0.5000 0.0000 0.1728
Pd 0.5000 0.0000 0.5000
Pd 0.5000 0.0000 0.8272
Pd 0.5000 0.5000 0.0000
Pd 0.5000 0.5000 0.3362
Pd 0.5000 0.5000 0.6638

Summary:
The calculation puts the energy of formation from the pure elements at -681 meV/atom.

***

This record from Alexandria describes a relaxed structure of Sm3Ho8. The functional is PBE.

abc: 7.1040 7.1040 7.1040
angles: 86.87 86.87 86.87
Fractional coordinates of all 11 atoms:
Sm 0.0000 0.5000 0.5000
Sm 0.5000 0.0000 0.5000
Sm 0.5000 0.5000 0.0000
Ho 0.1078 0.6973 0.8599
Ho 0.1401 0.8922 0.3027
Ho 0.3027 0.1401 0.8922
Ho 0.3723 0.3723 0.3723
Ho 0.6277 0.6277 0.6277
Ho 0.6973 0.8599 0.1078
Ho 0.8599 0.1078 0.6973
Ho 0.8922 0.3027 0.1401

Summary:
The calculation puts the energy of formation from the pure elements at 577 meV/atom.

***

This record from Alexandria describes a relaxed structure of Rb3BaBi. The functional is PBE.

abc: 7.5205 7.5205 7.5205
angles: 90.00 90.00 90.00
Fractional coordinates of all 5 atoms:
Rb 0.0000 0.0000 0.5000
Rb 0.0000 0.5000 0.0000
Rb 0.5000 0.0000 0.0000
Ba 0.0000 0.0000 0.0000
Bi 0.5000 0.5000 0.5000

Summary:
The calculation puts the energy of formation from the pure elements at 727 meV/atom.

***

This record from Alexandria describes a relaxed structure of Pm3HoRh4. The functional is PBE.

abc: 4.9251 4.9251 14.0412
angles: 90.00 90.00 90.00
Fractional coordinates of all 16 atoms:
Pm 0.0000 0.0000 0.0000
Pm 0.0000 0.0000 0.2507
Pm 0.0000 0.0000 0.7493
Pm 0.5000 0.5000 0.2493
Pm 0.5000 0.5000 0.5000
Pm 0.5000 0.5000 0.7507
Ho 0.0000 0.0000 0.5000
Ho 0.5000 0.5000 0.0000
Rh 0.0000 0.5000 0.1221
Rh 0.0000 0.5000 0.3779
Rh 0.0000 0.5000 0.6221
Rh 0.0000 0.5000 0.8779
Rh 0.5000 0.0000 0.1221
Rh 0.5000 0.0000 0.3779
Rh 0.5000 0.0000 0.6221
Rh 0.5000 0.0000 0.8779

Summary:
The calculation puts the energy of formation from the pure elements at -734 meV/atom.

***

This record from Alexandria describes a relaxed structure of PtBrN3. The functional is PBE.

abc: 3.8926 3.8926 3.8926
angles: 90.00 90.00 90.00
Fractional coordinates of all 5 atoms:
Pt 0.0000 0.0000 0.0000
Br 0.5000 0.5000 0.5000
N 0.0000 0.5000 0.5000
N 0.5000 0.0000 0.5000
N 0.5000 0.5000 0.0000

Summary:
Its uncorrected formation energy is 69.63 kcal/mol of atoms.

***

This record from Alexandria describes a relaxed structure of Pm5Tm2Tl. The functional is PBE.

abc: 3.4718 8.7812 8.7945
angles: 95.34 101.37 101.24
Fractional coordinates of all 8 atoms:
Pm 0.0000 0.0000 0.0000
Pm 0.2678 0.8990 0.6362
Pm 0.2685 0.6361 0.8998
Pm 0.7315 0.3639 0.1002
Pm 0.7322 0.1010 0.3638
Tm 0.0010 0.7302 0.2701
Tm 0.9990 0.2698 0.7299
Tl 0.5000 0.5000 0.5000

Summary:
The calculation puts the energy of formation from the pure elements at -2 meV/atom.

***

This record from Alexandria describes a relaxed structure of ThMg2S4. The functional is PBE.

abc: 7.3154 7.3154 7.3154
angles: 108.11 108.11 112.23
Fractional coordinates of all 14 atoms:
Th 0.3750 0.6250 0.7500
Th 0.6250 0.3750 0.2500
Mg 0.0000 0.0000 0.0000
Mg 0.0000 0.0000 0.5000
Mg 0.0000 0.5000 0.0000
Mg 0.5000 0.0000 0.5000
S 0.1314 0.6971 0.4344
S 0.2373 0.3029 0.9344
S 0.3029 0.2373 0.4344
S 0.3029 0.8686 0.0656
S 0.6971 0.1314 0.9344
S 0.6971 0.7627 0.5656
S 0.7627 0.6971 0.0656
S 0.8686 0.3029 0.5656

Summary:
Its uncorrected formation energy is -37.11 kcal/mol of atoms.

***

This record from Alexandria describes a relaxed structure of BaLaMg2. The functional is PBE.

abc: 4.1491 4.1491 8.3512
angles: 90.00 90.00 90.00
Fractional coordinates of all 4 atoms:
Ba 0.0000 0.0000 0.0000
La 0.0000 0.0000 0.5000
Mg 0.5000 0.5000 0.2860
Mg 0.5000 0.5000 0.7140

Summary:
The calculation puts the energy of formation from the pure elements at -64 meV/atom.